Here is a relaxed structure of KCrCd2 from Alexandria via LeMat-Bulk. Energies are from GGA-PBEsol.

a b c (Å): 3.0739 4.2613 7.8529
angles (deg): 90.00 90.00 90.00
Last column: nearest neighbours and their distance in Å.
Atoms (fractional coordinates):
1 Cd 0.0000 0.0000 0.0570  1 Cr 2.84, 6 Cd 3.07-3.15
2 Cd 0.5000 0.5000 0.2782  4 Cr 2.85, 6 Cd 3.07-3.15
3 Cr 0.0000 0.0000 0.4191  5 Cd 2.84-2.85, 2 Cr 3.07
4 K 0.5000 0.5000 0.7458  2 K 3.07

**Density of states at the Fermi level**: 1.8 states/eV/cell
**Final energy**: -2.925 eV/atom
**Total moment**: 4.5 μB/f.u.